1.
A plane-wave DFT calculation with GGA-PBE was carried out for an optimized crystal structure of ZnWI2.

```
ZnWI2
1.0
9.7167 0.0000 0.0000
0.0000 9.7167 0.0000
4.8584 4.8584 2.6331
I Zn W
4 2 2
Direct
0.9764 0.6250 0.2500
0.7736 0.1250 0.2500
0.3750 0.2264 0.7500
0.8750 0.0236 0.7500
0.5000 0.5000 0.0000
0.2500 0.7500 0.5000
0.7500 0.2500 0.5000
0.0000 0.0000 0.0000
```

- excess energy over the best structure of this formula in the dataset (kJ/mol of formula units) = 0.0
- space group = No. 122
- formation energy from raw total energies (eV/atom) = 0.656

2.
A plane-wave DFT calculation with GGA-PBE was carried out for an optimized crystal structure of ZnW3I.

```
ZnW3I
1.0
4.6750 0.0000 0.0000
0.0000 4.6750 0.0000
0.0000 0.0000 4.6750
I W Zn
1 3 1
Direct
0.5000 0.5000 0.5000
0.0000 0.5000 0.0000
0.0000 0.0000 0.5000
0.5000 0.0000 0.0000
0.0000 0.0000 0.0000
```

- excess energy over the best structure of this formula in the dataset (kJ/mol of formula units) = 0.0
- space group = No. 221
- formation energy from raw total energies (eV/atom) = 2.357

3.
A plane-wave DFT calculation with GGA-PBE was carried out for an optimized crystal structure of ZrW2I.

```
ZrW2I
1.0
0.0000 3.3628 3.3628
3.3628 0.0000 3.3628
3.3628 3.3628 0.0000
W Zr I
2 1 1
Direct
0.7500 0.7500 0.7500
0.2500 0.2500 0.2500
0.0000 0.0000 0.0000
0.5000 0.5000 0.5000
```

- excess energy over the best structure of this formula in the dataset (kJ/mol of formula units) = 3.1
- space group = No. 225
- formation energy from raw total energies (eV/atom) = 1.083

4.
A plane-wave DFT calculation with GGA-PBE was carried out for an optimized crystal structure of Zr3WI.

```
Zr3WI
1.0
5.1198 0.0000 0.0000
0.0000 5.1198 0.0000
0.0000 0.0000 5.1198
Zr I W
3 1 1
Direct
0.0000 0.5000 0.0000
0.5000 0.0000 0.0000
0.0000 0.0000 0.5000
0.0000 0.0000 0.0000
0.5000 0.5000 0.5000
```

- excess energy over the best structure of this formula in the dataset (kJ/mol of formula units) = 384.8
- space group = No. 221
- formation energy from raw total energies (eV/atom) = 1.582

5.
A plane-wave DFT calculation with GGA-PBE was carried out for an optimized crystal structure of ZrWI2.

```
ZrWI2
1.0
0.0000 3.4883 3.4883
3.4883 0.0000 3.4883
3.4883 3.4883 0.0000
I W Zr
2 1 1
Direct
0.2500 0.2500 0.2500
0.7500 0.7500 0.7500
0.5000 0.5000 0.5000
0.0000 0.0000 0.0000
```

- excess energy over the best structure of this formula in the dataset (kJ/mol of formula units) = 0.0
- space group = No. 225
- formation energy from raw total energies (eV/atom) = 0.887

6.
A plane-wave DFT calculation with GGA-PBE was carried out for an optimized crystal structure of Zr3WI.

```
Zr3WI
1.0
5.1817 0.0000 0.0000
0.0000 5.1817 0.0000
0.0000 0.0000 5.1817
I Zr W
1 3 1
Direct
0.5000 0.5000 0.5000
0.0000 0.0000 0.5000
0.5000 0.0000 0.0000
0.0000 0.5000 0.0000
0.0000 0.0000 0.0000
```

- excess energy over the best structure of this formula in the dataset (kJ/mol of formula units) = 0.0
- space group = No. 221
- formation energy from raw total energies (eV/atom) = 0.784

7.
A plane-wave DFT calculation with GGA-PBE was carried out for an optimized crystal structure of ZrWI2.

```
ZrWI2
1.0
6.6069 0.0000 0.0000
0.0000 6.6069 0.0000
3.3034 3.3034 5.6344
I Zr W
4 2 2
Direct
0.8750 0.9036 0.7500
0.3750 0.3464 0.7500
0.6536 0.1250 0.2500
0.0964 0.6250 0.2500
0.5000 0.5000 0.0000
0.2500 0.7500 0.5000
0.0000 0.0000 0.0000
0.7500 0.2500 0.5000
```

- excess energy over the best structure of this formula in the dataset (kJ/mol of formula units) = 165.3
- space group = No. 122
- formation energy from raw total energies (eV/atom) = 1.315

8.
A plane-wave DFT calculation with GGA-PBE was carried out for an optimized crystal structure of ZrW2I.

```
ZrW2I
1.0
-2.1063 1.6886 -2.8452
-3.2954 -1.3715 1.6256
-3.5145 9.1573 5.3331
Zr W I
2 4 2
Direct
0.5000 0.5000 0.0000
0.2500 0.7500 0.5000
0.1397 0.6250 0.2500
0.3750 0.3897 0.7500
0.8750 0.8603 0.7500
0.6103 0.1250 0.2500
0.0000 0.0000 0.0000
0.7500 0.2500 0.5000
```

- excess energy over the best structure of this formula in the dataset (kJ/mol of formula units) = 0.0
- space group = No. 122
- formation energy from raw total energies (eV/atom) = 1.075

9.
A plane-wave DFT calculation with GGA-PBE was carried out for an optimized crystal structure of YI.

```
YI
1.0
-11.4022 -0.4253 -4.2385
3.9500 -5.5897 -10.0652
-0.5237 -3.5482 1.7649
I Y
8 8
Direct
0.8808 0.8090 0.0000
0.2898 0.6003 0.5000
0.1910 0.8808 0.0000
0.6003 0.7102 0.5000
0.7102 0.3997 0.5000
0.8090 0.1192 0.0000
0.3997 0.2898 0.5000
0.1192 0.1910 0.0000
0.8478 0.6137 0.5000
0.0806 0.6225 0.0000
0.6137 0.1522 0.5000
0.6225 0.9194 0.0000
0.3863 0.8478 0.5000
0.3775 0.0806 0.0000
0.1522 0.3863 0.5000
0.9194 0.3775 0.0000
```

- space group = No. 83
- formation energy from raw total energies (eV/atom) = -0.817

10.
A plane-wave DFT calculation with GGA-PBE was carried out for an optimized crystal structure of YI.

```
YI
1.0
8.1271 0.0000 0.0000
0.0000 7.7611 0.0000
0.0000 0.0000 8.4206
Y I
8 8
Direct
0.1480 0.4995 0.5560
0.4453 0.1879 0.7650
0.6480 0.0005 0.4440
0.9453 0.3121 0.2350
0.0547 0.8121 0.2650
0.3520 0.5005 0.0560
0.5547 0.6879 0.7350
0.8520 0.9995 0.9440
0.2446 0.1392 0.4409
0.0792 0.3145 0.8790
0.4208 0.6855 0.3790
0.5792 0.1855 0.1210
0.7446 0.3608 0.5591
0.2554 0.8608 0.9409
0.9208 0.8145 0.6210
0.7554 0.6392 0.0591
```

- space group = No. 19
- formation energy from raw total energies (eV/atom) = -0.620

11.
A plane-wave DFT calculation with GGA-PBE was carried out for an optimized crystal structure of YI.

```
YI
1.0
3.9260 0.0000 0.0000
0.0000 3.9260 0.0000
0.0000 0.0000 9.5083
Y I
2 2
Direct
0.0000 0.5000 0.8811
0.5000 0.0000 0.1189
0.5000 0.0000 0.7023
0.0000 0.5000 0.2977
```

- space group = No. 129
- formation energy from raw total energies (eV/atom) = -0.883

12.
A plane-wave DFT calculation with GGA-PBE was carried out for an optimized crystal structure of YI.

```
YI
1.0
-8.0184 8.3729 3.3555
-8.9622 -6.8865 -4.2325
-0.3420 -1.7754 3.6128
I Y
8 8
Direct
0.7993 0.1093 0.5000
0.6093 0.7007 0.0000
0.3907 0.2993 0.0000
0.8907 0.7993 0.5000
0.2993 0.6093 0.0000
0.2007 0.8907 0.5000
0.1093 0.2007 0.5000
0.7007 0.3907 0.0000
0.3629 0.0966 0.5000
0.4034 0.8629 0.0000
0.6371 0.9034 0.5000
0.5966 0.1371 0.0000
0.9034 0.3629 0.5000
0.8629 0.5966 0.0000
0.0966 0.6371 0.5000
0.1371 0.4034 0.0000
```

- space group = No. 87
- formation energy from raw total energies (eV/atom) = -0.811

13.
A plane-wave DFT calculation with GGA-PBE was carried out for an optimized crystal structure of YI.

```
YI
1.0
3.8647 0.0000 0.0000
-1.9324 3.3470 0.0000
0.0000 0.0000 10.6123
I Y
2 2
Direct
0.3333 0.6667 0.6866
0.6667 0.3333 0.1866
0.3333 0.6667 0.3954
0.6667 0.3333 0.8954
```

- space group = No. 186
- formation energy from raw total energies (eV/atom) = -0.667

14.
A plane-wave DFT calculation with GGA-PBE was carried out for an optimized crystal structure of YI.

```
YI
1.0
3.8643 -0.0001 0.0006
-1.9322 3.3466 -0.0005
-1.9370 1.1178 5.3048
Y I
1 1
Direct
0.4270 0.5675 0.2808
0.2333 0.7613 0.6988
```

- space group = No. 160
- formation energy from raw total energies (eV/atom) = -0.666

15.
A plane-wave DFT calculation with GGA-PBE was carried out for an optimized crystal structure of YI.

```
YI
1.0
6.9146 0.0000 0.0000
0.0000 6.9146 0.0000
0.0000 0.0000 6.9146
I Y
4 4
Direct
0.5000 0.5000 0.0000
0.0000 0.0000 0.0000
0.5000 0.0000 0.5000
0.0000 0.5000 0.5000
0.2500 0.2500 0.2500
0.2500 0.7500 0.7500
0.7500 0.2500 0.7500
0.7500 0.7500 0.2500
```

- space group = No. 216
- formation energy from raw total energies (eV/atom) = -0.142

16.
A plane-wave DFT calculation with GGA-PBE was carried out for an optimized crystal structure of YI.

```
YI
1.0
-0.9323 -2.0139 -3.2361
3.0652 -6.3201 3.0500
-12.4828 -3.3211 5.6630
I Y
6 6
Direct
0.5000 0.3458 0.0000
0.5000 0.2778 0.7160
0.5000 0.2778 0.2840
0.0000 0.7222 0.2160
0.0000 0.7222 0.7840
0.0000 0.6542 0.5000
0.5000 0.3199 0.5000
0.0000 0.6801 0.0000
0.0000 0.0062 0.6243
0.0000 0.0062 0.3757
0.5000 0.9938 0.8757
0.5000 0.9938 0.1243
```

- space group = No. 59
- formation energy from raw total energies (eV/atom) = -0.748

17.
A plane-wave DFT calculation with GGA-PBE was carried out for an optimized crystal structure of YI.

```
YI
1.0
-3.0919 -0.6963 2.3647
0.9762 -2.6148 -2.7998
6.7583 -5.2004 7.2562
Y I
2 2
Direct
0.8350 0.6681 0.1249
0.1650 0.3319 0.8751
0.1714 0.3379 0.3159
0.8286 0.6621 0.6841
```

- space group = No. 2
- formation energy from raw total energies (eV/atom) = -0.850

18.
A plane-wave DFT calculation with GGA-PBE was carried out for an optimized crystal structure of YI.

```
YI
1.0
-3.8480 -0.1335 0.2480
1.7122 -0.0202 -3.4575
0.1654 -4.5656 0.1086
Y I
1 1
Direct
0.5093 0.0070 0.2398
0.8426 0.6737 0.7398
```

- space group = No. 187
- formation energy from raw total energies (eV/atom) = -0.784

19.
A plane-wave DFT calculation with GGA-PBE was carried out for an optimized crystal structure of YI.

```
YI
1.0
8.4974 0.0000 0.0000
0.0000 8.4974 0.0000
0.0000 0.0000 8.4974
Y I
6 6
Direct
0.7500 0.5000 0.0000
0.5000 0.0000 0.7500
0.0000 0.7500 0.5000
0.5000 0.0000 0.2500
0.0000 0.2500 0.5000
0.2500 0.5000 0.0000
0.7500 0.0000 0.5000
0.5000 0.2500 0.0000
0.0000 0.5000 0.7500
0.5000 0.7500 0.0000
0.0000 0.5000 0.2500
0.2500 0.0000 0.5000
```

- space group = No. 223
- formation energy from raw total energies (eV/atom) = 0.016

20.
A plane-wave DFT calculation with GGA-PBE was carried out for an optimized crystal structure of YI.

```
YI
1.0
-9.6135 -1.6086 -1.1229
1.6738 -3.7969 -8.8909
1.0231 -8.9030 3.9947
I Y
8 8
Direct
0.3071 0.6929 0.6929
0.1929 0.1929 0.8071
0.8071 0.1929 0.1929
0.8071 0.8071 0.8071
0.1929 0.8071 0.1929
0.3071 0.3071 0.3071
0.6929 0.3071 0.6929
0.6929 0.6929 0.3071
0.6202 0.6202 0.6202
0.8798 0.1202 0.8798
0.3798 0.3798 0.6202
0.1202 0.1202 0.1202
0.1202 0.8798 0.8798
0.3798 0.6202 0.3798
0.6202 0.3798 0.3798
0.8798 0.8798 0.1202
```

- space group = No. 217
- formation energy from raw total energies (eV/atom) = -0.293

21.
A plane-wave DFT calculation with GGA-PBE was carried out for an optimized crystal structure of YI.

```
YI
1.0
3.8016 0.0000 0.0000
0.0000 11.5827 0.0000
0.0000 0.0000 9.3091
I Y
6 6
Direct
0.0000 0.1636 0.2745
0.0000 0.6636 0.7745
0.0000 0.8364 0.2745
0.5000 0.0000 0.8462
0.0000 0.3364 0.7745
0.5000 0.5000 0.3462
0.0000 0.0000 0.5597
0.5000 0.7516 0.0235
0.5000 0.2516 0.5235
0.0000 0.5000 0.0597
0.5000 0.2484 0.0235
0.5000 0.7484 0.5235
```

- space group = No. 38
- formation energy from raw total energies (eV/atom) = -0.638

22.
A plane-wave DFT calculation with GGA-PBE was carried out for an optimized crystal structure of YI.

```
YI
1.0
8.8545 0.0000 0.0000
0.0000 8.9610 0.0000
0.0000 0.0000 12.1468
Y I
16 16
Direct
0.4386 0.7500 0.7500
0.0614 0.7500 0.7500
0.5614 0.2500 0.7500
0.4386 0.2500 0.2500
0.8114 0.5000 0.0000
0.6886 0.5000 0.5000
0.0614 0.2500 0.2500
0.1886 0.0000 0.5000
0.3114 0.5000 0.5000
0.6886 0.0000 0.0000
0.1886 0.5000 0.0000
0.9386 0.7500 0.2500
0.5614 0.7500 0.2500
0.8114 0.0000 0.5000
0.9386 0.2500 0.7500
0.3114 0.0000 0.0000
0.2500 0.0476 0.7500
0.2500 0.9524 0.2500
0.7500 0.5476 0.7500
0.7500 0.0476 0.2500
0.0000 0.2024 0.0000
0.5000 0.2024 0.5000
0.0000 0.7024 0.5000
0.5000 0.7976 0.5000
0.2500 0.4524 0.7500
0.5000 0.7024 0.0000
0.7500 0.9524 0.7500
0.0000 0.2976 0.5000
0.2500 0.5476 0.2500
0.5000 0.2976 0.0000
0.0000 0.7976 0.0000
0.7500 0.4524 0.2500
```

- space group = No. 70
- formation energy from raw total energies (eV/atom) = -0.562

23.
A plane-wave DFT calculation with GGA-PBE was carried out for an optimized crystal structure of YI4.

```
YI4
1.0
-1.5742 4.7748 3.3480
1.1479 -3.1462 5.0268
5.7175 1.9463 -0.0875
I Y
4 1
Direct
0.0000 0.0000 0.0000
0.0000 0.5000 0.5000
0.5000 0.5000 0.0000
0.5000 0.0000 0.5000
0.5000 0.5000 0.5000
```

- space group = No. 221
- formation energy from raw total energies (eV/atom) = -0.789

24.
A plane-wave DFT calculation with GGA-PBE was carried out for an optimized crystal structure of YI.

```
YI
1.0
3.9234 0.0000 0.0346
0.0000 3.9252 0.0000
-1.7145 0.0000 9.8940
I Y
2 2
Direct
0.6313 0.7500 0.7140
0.3687 0.2500 0.2860
0.7973 0.7500 0.1140
0.2027 0.2500 0.8860
```

- space group = No. 11
- formation energy from raw total energies (eV/atom) = -0.884

| no. | DFT total energy (Ry/atom) |
| --- | --- |
| 1 | -0.270 |
| 2 | -0.440 |
| 3 | -0.582 |
| 4 | -0.474 |
| 5 | -0.387 |
| 6 | -0.533 |
| 7 | -0.355 |
| 8 | -0.583 |
| 9 | -0.355 |
| 10 | -0.340 |
| 11 | -0.359 |
| 12 | -0.354 |
| 13 | -0.344 |
| 14 | -0.343 |
| 15 | -0.305 |
| 16 | -0.349 |
| 17 | -0.357 |
| 18 | -0.352 |
| 19 | -0.293 |
| 20 | -0.316 |
| 21 | -0.341 |
| 22 | -0.336 |
| 23 | -0.244 |
| 24 | -0.359 |